A plane-wave DFT calculation with PBE-GGA was carried out for a geometry-optimized Ac2Pr5Er4 structure.

Cell lengths 12.2070, 12.2070, 9.0401 Å; angles 105.13, 105.13, 17.53 degrees
Atoms (fractional coordinates):
Ac (0.0884, 0.0884, 0.2181)
Ac (0.9116, 0.9116, 0.7819)
Pr (0.0000, 0.0000, 0.5000)
Pr (0.2725, 0.2725, 0.6907)
Pr (0.3624, 0.3624, 0.4033)
Pr (0.6376, 0.6376, 0.5967)
Pr (0.7275, 0.7275, 0.3093)
Er (0.1825, 0.1825, 0.9522)
Er (0.4502, 0.4502, 0.1427)
Er (0.5498, 0.5498, 0.8573)
Er (0.8175, 0.8175, 0.0478)

Results
As for the space group: C2/m, No. 12. For the formation energy, the calculation gives 44 kJ/mol of formula units. The calculation puts the total DFT energy (no corrections) at -0.1667 Ha/atom. The density of states at the Fermi level is 17.28 states/eV per cell.



A plane-wave DFT calculation with PBE-GGA was carried out for a geometry-optimized Ac8Pr5Er structure.

Cell lengths 9.1600, 9.1600, 9.8313 Å; angles 122.12, 122.12, 80.40 degrees
Atoms (fractional coordinates):
Ac (0.0541, 0.0541, 0.3549)
Ac (0.2063, 0.3878, 0.8510)
Ac (0.2215, 0.2639, 0.1916)
Ac (0.5658, 0.2144, 0.7258)
Ac (0.6122, 0.7937, 0.1490)
Ac (0.7361, 0.7785, 0.8084)
Ac (0.7856, 0.4342, 0.2742)
Ac (0.9459, 0.9459, 0.6451)
Pr (0.2882, 0.5814, 0.6261)
Pr (0.4186, 0.7118, 0.3739)
Pr (0.4247, 0.0338, 0.9087)
Pr (0.7139, 0.2861, 0.5000)
Pr (0.9662, 0.5753, 0.0913)
Er (0.1817, 0.8183, 0.0000)

Results
As for the space group: C2, No. 5. For the formation energy, the calculation gives 232 kJ/mol of formula units. The calculation puts the total DFT energy (no corrections) at -0.1547 Ha/atom. The density of states at the Fermi level is 21.99 states/eV per cell.



A plane-wave DFT calculation with PBE-GGA was carried out for a geometry-optimized Ac2Pr3Er7 structure.

Cell lengths 6.4531, 3.6093, 17.8522 Å; angles 90.00, 96.61, 90.00 degrees
Atoms (fractional coordinates):
Ac (0.0494, 0.0000, 0.1759)
Ac (0.9506, 0.0000, 0.8241)
Pr (0.4592, 0.5000, 0.8405)
Pr (0.5000, 0.0000, 0.5000)
Pr (0.5408, 0.5000, 0.1595)
Er (0.0000, 0.5000, 0.5000)
Er (0.2270, 0.0000, 0.6608)
Er (0.2578, 0.0000, 0.0018)
Er (0.2767, 0.5000, 0.3410)
Er (0.7233, 0.5000, 0.6590)
Er (0.7422, 0.0000, 0.9982)
Er (0.7730, 0.0000, 0.3392)

Results
As for the space group: P2/m, No. 10. For the formation energy, the calculation gives 142 kJ/mol of formula units. The calculation puts the total DFT energy (no corrections) at -0.1624 Ha/atom. The density of states at the Fermi level is 18.22 states/eV per cell.



Question: Among the records above, which one has the lowest total DFT energy (no corrections)?
Answer: Ac2Pr5Er4



What did the second record say?
A plane-wave DFT calculation with PBE-GGA was carried out for a geometry-optimized Ac8Pr5Er structure.

Cell lengths 9.1600, 9.1600, 9.8313 Å; angles 122.12, 122.12, 80.40 degrees
Atoms (fractional coordinates):
Ac (0.0541, 0.0541, 0.3549)
Ac (0.2063, 0.3878, 0.8510)
Ac (0.2215, 0.2639, 0.1916)
Ac (0.5658, 0.2144, 0.7258)
Ac (0.6122, 0.7937, 0.1490)
Ac (0.7361, 0.7785, 0.8084)
Ac (0.7856, 0.4342, 0.2742)
Ac (0.9459, 0.9459, 0.6451)
Pr (0.2882, 0.5814, 0.6261)
Pr (0.4186, 0.7118, 0.3739)
Pr (0.4247, 0.0338, 0.9087)
Pr (0.7139, 0.2861, 0.5000)
Pr (0.9662, 0.5753, 0.0913)
Er (0.1817, 0.8183, 0.0000)

Results
As for the space group: C2, No. 5. For the formation energy, the calculation gives 232 kJ/mol of formula units. The calculation puts the total DFT energy (no corrections) at -0.1547 Ha/atom. The density of states at the Fermi level is 21.99 states/eV per cell.



What did the third record say?
A plane-wave DFT calculation with PBE-GGA was carried out for a geometry-optimized Ac2Pr3Er7 structure.

Cell lengths 6.4531, 3.6093, 17.8522 Å; angles 90.00, 96.61, 90.00 degrees
Atoms (fractional coordinates):
Ac (0.0494, 0.0000, 0.1759)
Ac (0.9506, 0.0000, 0.8241)
Pr (0.4592, 0.5000, 0.8405)
Pr (0.5000, 0.0000, 0.5000)
Pr (0.5408, 0.5000, 0.1595)
Er (0.0000, 0.5000, 0.5000)
Er (0.2270, 0.0000, 0.6608)
Er (0.2578, 0.0000, 0.0018)
Er (0.2767, 0.5000, 0.3410)
Er (0.7233, 0.5000, 0.6590)
Er (0.7422, 0.0000, 0.9982)
Er (0.7730, 0.0000, 0.3392)

Results
As for the space group: P2/m, No. 10. For the formation energy, the calculation gives 142 kJ/mol of formula units. The calculation puts the total DFT energy (no corrections) at -0.1624 Ha/atom. The density of states at the Fermi level is 18.22 states/eV per cell.